# LaCr2As PBE optimized geometry
# Crystal system: cubic
# Final energy in eV/atom: -7.0459
# Theoretical density in g/cm3: 6.21
# Formation energy from the elements in eV/atom: 0.160
data_LaCr2As
_cell_length_a 6.977
_cell_length_b 6.977
_cell_length_c 6.977
_cell_angle_alpha 90.00
_cell_angle_beta 90.00
_cell_angle_gamma 90.00
_space_group_name_H-M_alt 'F -4 3 m'
_space_group_IT_number 216
_space_group_name_Hall 'F -4 2 3'
loop_
_atom_site_label
_atom_site_type_symbol
_atom_site_fract_x
_atom_site_fract_y
_atom_site_fract_z
La1 La 0.000 0.000 0.000
Cr1 Cr 0.000 0.000 0.500
Cr2 Cr 0.250 0.250 0.250
As1 As 0.250 0.250 0.750

# La2CrAs2 PBE optimized geometry
# Crystal system: tetragonal
# Final energy in eV/atom: -6.3456
# Theoretical density in g/cm3: 7.07
# Formation energy from the elements in eV/atom: -0.590
data_La2CrAs2
_cell_length_a 6.962
_cell_length_b 6.962
_cell_length_c 4.650
_cell_angle_alpha 90.00
_cell_angle_beta 90.00
_cell_angle_gamma 90.00
_space_group_name_H-M_alt 'P 4/m b m'
_space_group_IT_number 127
_space_group_name_Hall '-P 4 2ab'
loop_
_atom_site_label
_atom_site_type_symbol
_atom_site_fract_x
_atom_site_fract_y
_atom_site_fract_z
La1 La 0.173 0.327 0.000
Cr1 Cr 0.000 0.000 0.500
As1 As 0.145 0.645 0.500